CePaCrO6 | PBE with a Hubbard U | optimized geometry

Computed properties:
Total magnetic moment   5.99 μB/cell
Space group   P-31c, No. 163
Raw total energy   -159.4 eV/cell

Cell: 5.4615 5.4615 9.7603 Å, 90.00 90.00 120.00°
Each line ends with the local moment (μB).
Positions (direct):
O  0.6455  0.6662  0.6358  -0.02
O  0.6662  0.0207  0.3642  -0.02
O  0.3545  0.3338  0.3642  -0.02
Cr  0.6667  0.3333  0.2500  2.92
O  0.6662  0.6455  0.1358  -0.02
O  0.0207  0.6662  0.8642  -0.02
Pa  0.6667  0.3333  0.7500  0.04
Pa  0.3333  0.6667  0.2500  0.04
O  0.0207  0.3545  0.6358  -0.02
O  0.6455  0.9793  0.8642  -0.02
O  0.3545  0.0207  0.1358  -0.02
O  0.9793  0.3338  0.1358  -0.02
O  0.3338  0.3545  0.8642  -0.02
O  0.9793  0.6455  0.3642  -0.02
Ce  0.0000  0.0000  0.5000  0.09
O  0.3338  0.9793  0.6358  -0.02
Ce  0.0000  0.0000  0.0000  0.09
Cr  0.3333  0.6667  0.7500  2.92